Entry 1:
Compound: Co2NiMo
Source: Alexandria via LeMat-Bulk
Functional: PBE
Structure: optimized geometry

Cell: 8.550 8.550 8.550 Å, 17.49 17.49 17.49°
Positions (direct):
1 Co 0.000 0.000 0.000
2 Co 0.256 0.256 0.256
3 Ni 0.509 0.509 0.509
4 Mo 0.755 0.755 0.755

ΔE_f (eV per atom): 0.156
Mass density (g cm⁻³): 9.187
Uncorrected energy (eV/cell): -30.2
M_tot (μB per atom): 0.7615

---

Entry 2:
Compound: AcPmPPt
Source: Alexandria via LeMat-Bulk
Functional: PBE
Structure: optimized geometry

Cell: 5.212 5.212 5.212 Å, 60.00 60.00 60.00°
Positions (direct):
1 Ac 0.000 0.000 0.000
2 Pm 0.500 0.500 0.500
3 P 0.250 0.250 0.250
4 Pt 0.750 0.750 0.750

ΔE_f (eV per atom): -0.946
Mass density (g cm⁻³): 9.917
Uncorrected energy (eV/cell): -24.1
M_tot (μB per atom): 0.0329

---

Question: What is the M_tot in the second record?
Answer: 0.0329 μB per atom

---

Please write out number 2 again, unchanged.
Compound: AcPmPPt
Source: Alexandria via LeMat-Bulk
Functional: PBE
Structure: optimized geometry

Cell: 5.212 5.212 5.212 Å, 60.00 60.00 60.00°
Positions (direct):
1 Ac 0.000 0.000 0.000
2 Pm 0.500 0.500 0.500
3 P 0.250 0.250 0.250
4 Pt 0.750 0.750 0.750

ΔE_f (eV per atom): -0.946
Mass density (g cm⁻³): 9.917
Uncorrected energy (eV/cell): -24.1
M_tot (μB per atom): 0.0329

---

Please write out number 2 again, unchanged.
Compound: AcPmPPt
Source: Alexandria via LeMat-Bulk
Functional: PBE
Structure: optimized geometry

Cell: 5.212 5.212 5.212 Å, 60.00 60.00 60.00°
Positions (direct):
1 Ac 0.000 0.000 0.000
2 Pm 0.500 0.500 0.500
3 P 0.250 0.250 0.250
4 Pt 0.750 0.750 0.750

ΔE_f (eV per atom): -0.946
Mass density (g cm⁻³): 9.917
Uncorrected energy (eV/cell): -24.1
M_tot (μB per atom): 0.0329